Record 1
Here is an optimized crystal structure of Li4GdPd from Alexandria. Energies are from PBE-GGA.

a b c (Å): 5.2971 5.2971 5.2971
angles (deg): 60.00 60.00 60.00
Site moments in Bohr magnetons follow the coordinates.
Element x y z (fractional)
Pd 0.0000 0.0000 0.0000  -0.04
Gd 0.2500 0.2500 0.2500  7.27
Li 0.1160 0.6280 0.6280  0.01
Li 0.6280 0.1160 0.6280  0.01
Li 0.6280 0.6280 0.1160  0.01
Li 0.6280 0.6280 0.6280  0.01

Output
Symmetry: No. 216
Crystal system: cubic
Formation energy (kJ/mol of atoms): -9.9
D(E_F) (states/eV/cell): 4.19

***

Record 2
Here is an optimized crystal structure of Al2MoSe from Alexandria. Energies are from PBE-GGA.

a b c (Å): 5.3252 5.3252 3.1261
angles (deg): 73.62 73.62 116.81
Element x y z (fractional)
Mo 0.5000 0.0000 0.5000
Al 0.5000 0.5000 0.0000
Al 0.0000 0.0000 0.0000
Se 0.0000 0.5000 0.5000

Output
Symmetry: No. 12
Crystal system: monoclinic
D(E_F) (states/eV/cell): 2.77
ΔE_f (raw) (eV per atom): 0.142

***

Record 3
Here is an optimized crystal structure of BaNiBr2 from Alexandria. Energies are from PBE-GGA.

a b c (Å): 6.2694 6.2694 6.2694
angles (deg): 44.14 44.14 44.14
Site moments in Bohr magnetons follow the coordinates.
Element x y z (fractional)
Ni 0.7500 0.7500 0.7500  0.15
Br 0.4787 0.4787 0.4787  0.00
Br 0.0213 0.0213 0.0213  0.00
Ba 0.2500 0.2500 0.2500  -0.01

Output
Symmetry: No. 166
Crystal system: trigonal
D(E_F) (states/eV/cell): 4.21
Energy relative to the lowest polymorph listed for this composition (eV/atom): 0.335
ΔE_f (raw) (eV per atom): -0.706

***

Record 4
Here is an optimized crystal structure of SrNiTe2S from Alexandria. Energies are from PBE-GGA.

a b c (Å): 6.1320 5.2776 6.1320
angles (deg): 90.00 90.00 90.00
Site moments in Bohr magnetons follow the coordinates.
Element x y z (fractional)
Ni 0.0000 0.5000 0.0000  0.03
S 0.5000 0.5000 0.5000  0.98
Sr 0.0000 0.0000 0.0000  0.00
Te 0.0000 0.0000 0.5000  0.31
Te 0.5000 0.0000 0.0000  0.26

Output
Symmetry: No. 123
Crystal system: tetragonal
D(E_F) (states/eV/cell): 12.49
ΔE_f (raw) (eV per atom): 1.152

***

> Among the records above, which one has the lowest D(E_F)?

Al2MoSe

***

> The lowest D(E_F) belongs to which entry?

Al2MoSe

***

> What is the D(E_F) in the third record?

4.21 states/eV/cell